[1]
# Ac3Mg2ZrO9

An optimized crystal structure of Ac3Mg2ZrO9 (PBE, the Alexandria database).

Values from the calculation:
Total magnetic moment = 0.76 μB/f.u.
Formation energy (no corrections) = -4315 kJ/mol of formula units
Space group = P-3m1
Uncorrected energy = -113.41 eV per cell

abc: 5.758 5.758 7.167
angles: 90.00 90.00 120.00
Positions (direct):
O 0.834 0.166 0.676
O 0.166 0.834 0.324
O 0.668 0.834 0.324
O 0.500 0.000 0.000
O 0.500 0.500 0.000
O 0.834 0.668 0.676
O 0.166 0.332 0.324
O 0.000 0.500 0.000
O 0.332 0.166 0.676
Ac 0.667 0.333 0.296
Ac 0.333 0.667 0.704
Ac 0.000 0.000 0.000
Mg 0.667 0.333 0.830
Mg 0.333 0.667 0.170
Zr 0.000 0.000 0.500

[2]
# Ac2MgZrO6

An optimized crystal structure of Ac2MgZrO6 (PBE, the Alexandria database).

Values from the calculation:
Total magnetic moment = 0.00 μB/f.u.
Formation energy (no corrections) = -3150 kJ/mol of formula units
Space group = P2_1/c
Uncorrected energy = -161.51 eV per cell

abc: 5.841 5.887 8.273
angles: 90.00 90.15 90.00
Positions (direct):
O 0.288 0.714 0.046
O 0.788 0.786 0.546
O 0.416 0.976 0.751
O 0.286 0.712 0.456
O 0.212 0.214 0.454
O 0.084 0.476 0.749
O 0.584 0.024 0.249
O 0.786 0.788 0.956
O 0.714 0.288 0.544
O 0.916 0.524 0.251
O 0.712 0.286 0.954
O 0.214 0.212 0.044
Ac 0.492 0.465 0.251
Ac 0.508 0.535 0.749
Ac 0.992 0.035 0.751
Ac 0.008 0.965 0.249
Zr 0.500 0.000 0.000
Zr 0.000 0.500 0.500
Mg 0.000 0.500 0.000
Mg 0.500 0.000 0.500

[3]
# Ac7Mg2Os2

An optimized crystal structure of Ac7Mg2Os2 (PBE, the Alexandria database).

Values from the calculation:
Total magnetic moment = 0.00 μB/f.u.
Space group = C2/m
Uncorrected energy = -53.83 eV per cell
Energy of formation from the pure elements = 0.053 eV per atom

abc: 7.716 7.716 7.545
angles: 88.91 88.91 117.57
Positions (direct):
Ac 0.218 0.218 0.429
Ac 0.939 0.409 0.745
Ac 0.061 0.591 0.255
Ac 0.782 0.782 0.571
Ac 0.409 0.939 0.745
Ac 0.591 0.061 0.255
Ac 0.000 0.000 0.000
Mg 0.571 0.571 0.191
Mg 0.429 0.429 0.809
Os 0.634 0.366 0.500
Os 0.366 0.634 0.500

[4]
# Ac4MgOs

An optimized crystal structure of Ac4MgOs (PBE, the Alexandria database).

Values from the calculation:
Total magnetic moment = 0.00 μB/f.u.
Space group = F-43m
Uncorrected energy = -119.17 eV per cell
Energy of formation from the pure elements = -0.089 eV per atom

abc: 10.572 10.572 10.572
angles: 60.00 60.00 60.00
Positions (direct):
Mg 0.173 0.480 0.173
Mg 0.173 0.173 0.173
Mg 0.480 0.173 0.173
Mg 0.173 0.173 0.480
Ac 0.938 0.562 0.938
Ac 0.406 0.781 0.406
Ac 0.406 0.406 0.406
Ac 0.191 0.809 0.191
Ac 0.781 0.406 0.406
Ac 0.809 0.191 0.809
Ac 0.191 0.191 0.809
Ac 0.938 0.562 0.562
Ac 0.562 0.938 0.938
Ac 0.191 0.809 0.809
Ac 0.809 0.191 0.191
Ac 0.938 0.938 0.562
Ac 0.406 0.406 0.781
Ac 0.809 0.809 0.191
Ac 0.562 0.938 0.562
Ac 0.562 0.562 0.938
Os 0.612 0.165 0.612
Os 0.165 0.612 0.612
Os 0.612 0.612 0.165
Os 0.612 0.612 0.612

[5]
# Ac2MgOs

An optimized crystal structure of Ac2MgOs (PBE, the Alexandria database).

Values from the calculation:
Total magnetic moment = 0.00 μB/f.u.
Space group = R-3m
Energy above the lowest structure with this stoichiometry = 80.4 kJ per mole of atoms
Uncorrected energy = -17.29 eV per cell
Energy of formation from the pure elements = 0.937 eV per atom

abc: 3.519 3.519 11.773
angles: 81.41 81.41 60.00
Positions (direct):
Ac 0.078 0.078 0.767
Ac 0.922 0.922 0.233
Mg 0.500 0.500 0.500
Os 0.000 0.000 0.000

[6]
# Ac2MgOs

An optimized crystal structure of Ac2MgOs (PBE, the Alexandria database).

Values from the calculation:
Total magnetic moment = 0.00 μB/f.u.
Space group = Fm-3m
Energy above the lowest structure with this stoichiometry = 8.3 kJ per mole of atoms
Uncorrected energy = -20.28 eV per cell
Energy of formation from the pure elements = 0.189 eV per atom

abc: 5.436 5.436 5.436
angles: 60.00 60.00 60.00
Positions (direct):
Ac 0.750 0.750 0.750
Ac 0.250 0.250 0.250
Os 0.500 0.500 0.500
Mg 0.000 0.000 0.000

[7]
# Ac3MgOs

An optimized crystal structure of Ac3MgOs (PBE, the Alexandria database).

Values from the calculation:
Total magnetic moment = 0.00 μB/f.u.
Space group = P-1
Energy above the lowest structure with this stoichiometry = 0.0 kJ per mole of atoms
Uncorrected energy = -50.29 eV per cell
Energy of formation from the pure elements = 0.001 eV per atom

abc: 10.163 6.360 8.858
angles: 113.08 126.15 51.10
Positions (direct):
Mg 0.591 0.319 0.844
Mg 0.777 0.981 0.211
Ac 0.370 0.477 0.402
Ac 0.558 0.698 0.256
Ac 0.040 0.214 0.252
Ac 0.998 0.823 0.652
Ac 0.328 0.086 0.802
Ac 0.810 0.602 0.799
Os 0.929 0.258 0.513
Os 0.439 0.041 0.542

[8]
# Ac2MgOs

An optimized crystal structure of Ac2MgOs (PBE, the Alexandria database).

Values from the calculation:
Total magnetic moment = 0.00 μB/f.u.
Space group = P4/mmm
Energy above the lowest structure with this stoichiometry = 0.0 kJ per mole of atoms
Uncorrected energy = -20.63 eV per cell
Energy of formation from the pure elements = 0.103 eV per atom

abc: 3.676 3.676 9.155
angles: 90.00 90.00 90.00
Positions (direct):
Ac 0.000 0.000 0.802
Ac 0.000 0.000 0.198
Os 0.500 0.500 0.000
Mg 0.500 0.500 0.500